A relaxed structure of La2SeO, computed with PBEsol.

The energy relative to the elements, uncorrected is -2.027 eV per atom. The total magnetization comes out at 4.62 Bohr magnetons per cell.

The space group is I-42d (No. 122) and the conventional cell measures 6.2739, 6.2739 and 11.3509 Å, with angles of 90.00, 90.00 and 90.00 degrees. The asymmetric unit holds La at (0.1810, 0.2500, 0.1250), Se at (0.0000, 0.0000, 0.5000) and O at (0.0000, 0.0000, 0.0000).


A relaxed structure of La2Se2O, computed with PBEsol.

The energy relative to the elements, uncorrected is -2.582 eV per atom. As for the energy above the most stable polymorph in this dataset: 0.0 kJ/mol of atoms. The total magnetization comes out at 0.00 Bohr magnetons per cell.

The space group is P2_1/c (No. 14) and the conventional cell measures 8.8806, 7.4017 and 7.3526 Å, with angles of 90.00, 99.55 and 90.00 degrees. The asymmetric unit holds La at (0.0763, 0.1431, 0.3215), La at (0.3574, 0.5533, 0.2446), Se at (0.1769, 0.6352, 0.5594), Se at (0.4212, 0.2248, 0.4730) and O at (0.1143, 0.0847, 0.6488).


A relaxed structure of La8Te3SeO8, computed with PBEsol.

The energy relative to the elements, uncorrected is -3.057 eV per atom. The total magnetization comes out at 0.00 Bohr magnetons per cell.

The space group is P4/mmm (No. 123) and the conventional cell measures 4.0549, 4.0549 and 25.7503 Å, with angles of 90.00, 90.00 and 90.00 degrees. The asymmetric unit holds La at (0.0000, 0.0000, 0.0741), La at (0.0000, 0.0000, 0.4203), La at (0.5000, 0.5000, 0.1675), La at (0.5000, 0.5000, 0.3268), Te at (0.0000, 0.0000, 0.2472), Te at (0.5000, 0.5000, 0.5000), Se at (0.5000, 0.5000, 0.0000), O at (0.0000, 0.5000, 0.1208) and O at (0.0000, 0.5000, 0.3735).


A relaxed structure of LaTi2SeO, computed with PBEsol.

The energy relative to the elements, uncorrected is 0.009 eV per atom. The total magnetization comes out at 0.01 Bohr magnetons per cell.

The space group is P4/mmm (No. 123) and the conventional cell measures 4.6471, 4.6471 and 4.7700 Å, with angles of 90.00, 90.00 and 90.00 degrees. The asymmetric unit holds La at (0.0000, 0.0000, 0.0000), Ti at (0.0000, 0.5000, 0.5000), Se at (0.5000, 0.5000, 0.5000) and O at (0.5000, 0.5000, 0.0000).


A relaxed structure of La2ZnSe2O2, computed with PBEsol.

The energy relative to the elements, uncorrected is -2.431 eV per atom. The total magnetization comes out at 0.00 Bohr magnetons per cell.

The space group is Cmce (No. 64) and the conventional cell measures 22.7518, 17.5311 and 5.6885 Å, with angles of 90.00, 90.00 and 90.00 degrees. The asymmetric unit holds La at (0.0000, 0.1796, 0.2274), La at (0.1249, 0.1804, 0.7322), La at (0.2500, 0.1802, 0.2500), Zn at (0.0693, 0.0000, 0.5000), Zn at (0.1894, 0.0000, 0.0000), Se at (0.0000, 0.0833, 0.7181), Se at (0.1260, 0.0840, 0.2379), Se at (0.2500, 0.0841, 0.7500), O at (0.0626, 0.2500, 0.4781) and O at (0.1874, 0.2475, 0.9917).


A relaxed structure of LaSi2O2, computed with PBEsol.

The energy relative to the elements, uncorrected is -0.772 eV per atom. The total magnetization comes out at 0.00 Bohr magnetons per cell.

The space group is I4/mmm (No. 139) and the conventional cell measures 4.1940, 4.1940 and 8.1901 Å, with angles of 90.00, 90.00 and 90.00 degrees. The asymmetric unit holds La at (0.0000, 0.0000, 0.0000), Si at (0.0000, 0.0000, 0.3568) and O at (0.0000, 0.5000, 0.2500).


What did the second record say?
A relaxed structure of La2Se2O, computed with PBEsol.

The energy relative to the elements, uncorrected is -2.582 eV per atom. As for the energy above the most stable polymorph in this dataset: 0.0 kJ/mol of atoms. The total magnetization comes out at 0.00 Bohr magnetons per cell.

The space group is P2_1/c (No. 14) and the conventional cell measures 8.8806, 7.4017 and 7.3526 Å, with angles of 90.00, 99.55 and 90.00 degrees. The asymmetric unit holds La at (0.0763, 0.1431, 0.3215), La at (0.3574, 0.5533, 0.2446), Se at (0.1769, 0.6352, 0.5594), Se at (0.4212, 0.2248, 0.4730) and O at (0.1143, 0.0847, 0.6488).